a) Here is a relaxed Cs3MnH6 crystal from Alexandria via LeMat-Bulk. Energies are from PBE-GGA.

Calculated values
Fermi-level density of states (states/eV/cell): 6.7

a = 6.453 Å, b = 6.453 Å, c = 6.453 Å
α = 60.00°, β = 60.00°, γ = 60.00°
Sites, in units of the cell vectors:
1 H 0.816 0.184 0.816
2 H 0.184 0.816 0.816
3 H 0.184 0.816 0.184
4 H 0.184 0.184 0.816
5 H 0.816 0.184 0.184
6 H 0.816 0.816 0.184
7 Cs 0.500 0.500 0.500
8 Cs 0.750 0.750 0.750
9 Cs 0.250 0.250 0.250
10 Mn 0.000 0.000 0.000

---

b) Here is a relaxed Cs3MnH6 crystal from Alexandria via LeMat-Bulk. Energies are from PBE-GGA.

Calculated values
Fermi-level density of states (states/eV/cell): 6.2

a = 6.666 Å, b = 6.666 Å, c = 6.104 Å
α = 116.88°, β = 116.88°, γ = 99.92°
Sites, in units of the cell vectors:
1 H 0.006 0.006 0.733
2 H 0.994 0.994 0.267
3 H 0.832 0.168 0.000
4 H 0.168 0.832 0.000
5 H 0.727 0.727 0.733
6 H 0.273 0.273 0.267
7 Cs 0.250 0.750 0.500
8 Cs 0.750 0.250 0.500
9 Cs 0.500 0.500 0.000
10 Mn 0.000 0.000 0.000

---

The structure with the greatest stability is a).

---

a) Here is a relaxed Cs2H4N crystal from Alexandria via LeMat-Bulk. Energies are from PBE-GGA.

Calculated values
Fermi-level density of states (states/eV/cell): 3.2

a = 6.335 Å, b = 5.843 Å, c = 12.864 Å
α = 65.58°, β = 90.00°, γ = 90.00°
Sites, in units of the cell vectors:
1 H 0.878 0.404 0.720
2 H 0.250 0.802 0.932
3 H 0.622 0.404 0.720
4 H 0.122 0.596 0.280
5 H 0.750 0.198 0.068
6 H 0.378 0.596 0.280
7 H 0.750 0.329 0.629
8 H 0.250 0.671 0.371
9 N 0.250 0.699 0.286
10 N 0.750 0.301 0.714
11 Cs 0.250 0.210 0.032
12 Cs 0.750 0.984 0.327
13 Cs 0.750 0.790 0.968
14 Cs 0.250 0.016 0.673

---

b) Here is a relaxed Cs2H4N crystal from Alexandria via LeMat-Bulk. Energies are from PBE-GGA.

Calculated values
Fermi-level density of states (states/eV/cell): 1.1

a = 9.208 Å, b = 6.241 Å, c = 5.140 Å
α = 131.77°, β = 109.59°, γ = 79.88°
Sites, in units of the cell vectors:
1 H 0.266 0.977 0.994
2 H 0.085 0.072 0.121
3 H 0.939 0.283 0.261
4 H 0.907 0.935 0.957
5 Cs 0.619 0.063 0.322
6 Cs 0.197 0.574 0.150
7 N 0.987 0.096 0.196

---

The structure with the greatest stability is a).

---

a) Here is a relaxed CsHN2 crystal from Alexandria via LeMat-Bulk. Energies are from PBE-GGA.

Calculated values
Fermi-level density of states (states/eV/cell): 2.3

a = 5.831 Å, b = 5.831 Å, c = 5.831 Å
α = 33.58°, β = 33.58°, γ = 33.58°
Sites, in units of the cell vectors:
1 N 0.180 0.180 0.180
2 N 0.820 0.820 0.820
3 H 0.500 0.500 0.500
4 Cs 0.000 0.000 0.000

---

b) Here is a relaxed CsHN2 crystal from Alexandria via LeMat-Bulk. Energies are from PBE-GGA.

Calculated values
Fermi-level density of states (states/eV/cell): 3.9

a = 4.415 Å, b = 4.415 Å, c = 6.928 Å
α = 71.42°, β = 71.42°, γ = 90.00°
Sites, in units of the cell vectors:
1 Cs 0.000 0.000 0.000
2 Cs 0.750 0.250 0.500
3 N 0.375 0.625 0.250
4 N 0.875 0.625 0.750
5 N 0.375 0.125 0.250
6 N 0.375 0.625 0.750
7 H 0.500 0.500 0.000
8 H 0.250 0.750 0.500

---

The structure with the greatest stability is a).

---

a) Here is a relaxed Cs2NaH crystal from Alexandria via LeMat-Bulk. Energies are from PBE-GGA.

Calculated values
Fermi-level density of states (states/eV/cell): 1.5

a = 9.294 Å, b = 9.294 Å, c = 8.583 Å
α = 57.22°, β = 57.22°, γ = 90.00°
Sites, in units of the cell vectors:
1 Cs 0.375 0.497 0.750
2 Cs 0.875 0.753 0.750
3 Cs 0.247 0.625 0.250
4 Cs 0.503 0.125 0.250
5 H 0.500 0.500 0.000
6 H 0.250 0.750 0.500
7 Na 0.000 0.000 0.000
8 Na 0.750 0.250 0.500

---

b) Here is a relaxed Cs2NaH crystal from Alexandria via LeMat-Bulk. Energies are from PBE-GGA.

Calculated values
Fermi-level density of states (states/eV/cell): 1.7

a = 4.467 Å, b = 4.467 Å, c = 12.163 Å
α = 79.42°, β = 79.42°, γ = 60.00°
Sites, in units of the cell vectors:
1 Cs 0.115 0.115 0.655
2 Cs 0.885 0.885 0.345
3 Na 0.000 0.000 0.000
4 H 0.500 0.500 0.500

---

c) Here is a relaxed Cs2NaH crystal from Alexandria via LeMat-Bulk. Energies are from PBE-GGA.

Calculated values
Fermi-level density of states (states/eV/cell): 0.0

a = 6.608 Å, b = 6.608 Å, c = 6.608 Å
α = 60.00°, β = 60.00°, γ = 60.00°
Sites, in units of the cell vectors:
1 H 0.000 0.000 0.000
2 Cs 0.250 0.250 0.250
3 Cs 0.750 0.750 0.750
4 Na 0.500 0.500 0.500

---

The structure with the greatest stability is a).

---

a) Here is a relaxed CsNa3H crystal from Alexandria via LeMat-Bulk. Energies are from PBE-GGA.

Calculated values
Fermi-level density of states (states/eV/cell): 4.2

a = 5.782 Å, b = 5.782 Å, c = 5.782 Å
α = 90.00°, β = 90.00°, γ = 90.00°
Sites, in units of the cell vectors:
1 Cs 0.500 0.500 0.500
2 Na 0.000 0.500 0.000
3 Na 0.000 0.000 0.500
4 Na 0.500 0.000 0.000
5 H 0.000 0.000 0.000

---

b) Here is a relaxed CsNa3H crystal from Alexandria via LeMat-Bulk. Energies are from PBE-GGA.

Calculated values
Fermi-level density of states (states/eV/cell): 6.9

a = 7.798 Å, b = 7.798 Å, c = 7.798 Å
α = 90.00°, β = 90.00°, γ = 90.00°
Sites, in units of the cell vectors:
1 Na 0.500 0.000 0.000
2 Na 0.000 0.500 0.000
3 Na 0.000 0.000 0.500
4 H 0.500 0.500 0.500
5 Cs 0.000 0.000 0.000

---

The structure with the greatest stability is a).

---

a) Here is a relaxed Cs2NaH2 crystal from Alexandria via LeMat-Bulk. Energies are from PBE-GGA.

Calculated values
Fermi-level density of states (states/eV/cell): 1.4

a = 8.049 Å, b = 8.049 Å, c = 8.049 Å
α = 139.27°, β = 139.27°, γ = 58.96°
Sites, in units of the cell vectors:
1 Cs 0.674 0.674 0.000
2 Cs 0.326 0.326 0.000
3 H 0.750 0.250 0.500
4 H 0.250 0.750 0.500
5 Na 0.000 0.000 0.000

---

b) Here is a relaxed Cs2NaH2 crystal from Alexandria via LeMat-Bulk. Energies are from PBE-GGA.

Calculated values
Fermi-level density of states (states/eV/cell): 2.9

a = 8.869 Å, b = 8.869 Å, c = 4.081 Å
α = 90.00°, β = 90.00°, γ = 90.00°
Sites, in units of the cell vectors:
1 Na 0.000 0.000 0.000
2 Na 0.500 0.500 0.000
3 Cs 0.149 0.649 0.500
4 Cs 0.351 0.149 0.500
5 Cs 0.851 0.351 0.500
6 Cs 0.649 0.851 0.500
7 H 0.655 0.155 0.000
8 H 0.845 0.655 0.000
9 H 0.155 0.345 0.000
10 H 0.345 0.845 0.000

---

The structure with the greatest stability is b).